First-principles (PBE-GGA) data for a geometry-optimized HoSn4Rh2 structure, as listed in Alexandria via LeMat-Bulk.

a b c (Å): 4.4342 7.3053 18.3988
angles (deg): 90.00 90.00 90.00
Closest atoms and distances in Å follow each position.
Fractional positions:
Rh 0.2500 0.7485 0.0349  7 Sn 2.70-2.84
Rh 0.7500 0.2485 0.4651  7 Sn 2.70-2.84
Rh 0.2500 0.5257 0.2849  7 Sn 2.71-2.80
Rh 0.7500 0.0257 0.2151  7 Sn 2.71-2.80
Rh 0.7500 0.2515 0.9651  7 Sn 2.70-2.84
Rh 0.7500 0.4743 0.7151  7 Sn 2.71-2.80
Rh 0.2500 0.9743 0.7849  7 Sn 2.71-2.80
Rh 0.2500 0.7515 0.5349  7 Sn 2.70-2.84
Ho 0.7500 0.5112 0.1430  8 Sn 3.15-3.41, 4 Rh 3.43-3.45
Ho 0.2500 0.4888 0.8570  8 Sn 3.15-3.41, 4 Rh 3.43-3.45
Ho 0.7500 0.9888 0.6430  8 Sn 3.15-3.41, 4 Rh 3.43-3.45
Ho 0.2500 0.0112 0.3570  8 Sn 3.15-3.41, 4 Rh 3.43-3.45
Sn 0.2500 0.2680 0.6937  3 Rh 2.71-2.72
Sn 0.2500 0.3710 0.0338  3 Rh 2.70-2.76
Sn 0.7500 0.7680 0.8063  3 Rh 2.71-2.72
Sn 0.7500 0.7320 0.3063  3 Rh 2.71-2.72
Sn 0.2500 0.8079 0.1818  4 Rh 2.74-2.80
Sn 0.7500 0.5218 0.5669  4 Rh 2.74-2.84
Sn 0.2500 0.6921 0.6818  4 Rh 2.74-2.80
Sn 0.2500 0.4782 0.4331  4 Rh 2.74-2.84
Sn 0.7500 0.8710 0.4662  3 Rh 2.70-2.76
Sn 0.7500 0.1921 0.8182  4 Rh 2.74-2.80
Sn 0.7500 0.9782 0.0669  4 Rh 2.74-2.84
Sn 0.2500 0.0218 0.9331  4 Rh 2.74-2.84
Sn 0.2500 0.2320 0.1937  3 Rh 2.71-2.72
Sn 0.2500 0.1290 0.5338  3 Rh 2.70-2.76
Sn 0.7500 0.6290 0.9662  3 Rh 2.70-2.76
Sn 0.7500 0.3079 0.3182  4 Rh 2.74-2.80

- Space-group type: Pnma, No. 62
- Total energy: -5.63 eV/atom
- D(E_F): 2.37 states/eV/f.u.
- Spin magnetization: 0.00 Bohr magnetons per cell
- Density: 9.42 g/cm3